Computed, not measured: an optimized crystal structure of CaCd2Pb2 at the PBE level of DFT.

Cell: 4.833 4.833 7.334 Å, 70.76 70.76 90.00°
Fractional positions:
Pb (0.750, 0.250, 0.500)
Pb (0.250, 0.750, 0.500)
Ca (0.000, 0.000, 0.000)
Cd (0.396, 0.396, 0.208)
Cd (0.604, 0.604, 0.792)

Output
Volume, A^3/atom: 30.317
DFT formation energy, eV/atom: -0.141

Computed, not measured: an optimized crystal structure of YAlSe2 at the PBE level of DFT.

Cell: 5.312 5.312 5.312 Å, 138.45 117.90 77.51°
Fractional positions:
Y (0.750, 0.250, 0.500)
Al (0.250, 0.750, 0.500)
Se (0.043, 0.043, 0.000)
Se (0.457, 0.457, 0.000)

Output
ΔE_f (raw), eV per atom: -0.914
Volume, A^3/atom: 21.386